A relaxed structure of CaPaPt2, computed with PBE-GGA.

Properties
- SG = R-3m, No. 166
- ρ (g/cm³) = 11.16
- ΔH_f (0 K) (kcal/mol of atoms) = -21.85
- total magnetic moment (μB/f.u.) = 0.00
- total energy (eV per atom) = -6.842
- E above lowest polymorph (meV/atom) = 0.0
- DOS at the Fermi energy (states/eV/f.u.) = 2.325
- crystal system = trigonal

a b c (Å): 7.426 7.426 7.426
angles (deg): 31.36 31.36 31.36
Atoms (fractional coordinates):
Ca1 0.000 0.000 0.000
Pa1 0.500 0.500 0.500
Pt1 0.241 0.241 0.241
Pt2 0.759 0.759 0.759

=====

A relaxed structure of Mg2GaNiHg, computed with PBE-GGA.

Properties
- SG = P4/mmm, No. 123
- ρ (g/cm³) = 5.79
- ΔH_f (0 K) (kcal/mol of atoms) = -1.95
- total magnetic moment (μB/f.u.) = 0.00
- total energy (eV per atom) = -2.544
- DOS at the Fermi energy (states/eV/f.u.) = 2.613
- crystal system = tetragonal

a b c (Å): 4.896 4.896 4.516
angles (deg): 90.00 90.00 90.00
Atoms (fractional coordinates):
Mg1 0.000 0.500 0.000
Mg2 0.500 0.000 0.000
Ga1 0.000 0.000 0.500
Ni1 0.000 0.000 0.000
Hg1 0.500 0.500 0.500

=====

A relaxed structure of Nb4PdRh3, computed with PBE-GGA.

Properties
- SG = C2/m, No. 12
- ρ (g/cm³) = 9.32
- ΔH_f (0 K) (kcal/mol of atoms) = 0.82
- total magnetic moment (μB/f.u.) = 0.00
- total energy (eV per atom) = -8.405
- DOS at the Fermi energy (states/eV/f.u.) = 9.639
- crystal system = monoclinic

a b c (Å): 11.198 11.198 2.828
angles (deg): 92.08 92.08 23.30
Atoms (fractional coordinates):
Nb1 0.101 0.101 0.035
Nb2 0.329 0.329 0.494
Nb3 0.671 0.671 0.506
Nb4 0.899 0.899 0.965
Pd1 0.500 0.500 0.000
Rh1 0.000 0.000 0.500
Rh2 0.215 0.215 0.984
Rh3 0.785 0.785 0.016

=====

A relaxed structure of NaAc2Sb4Pd3, computed with PBE-GGA.

Properties
- formation energy from raw total energies (kJ/mol of atoms) = -76.04
- SG = P-4m2, No. 115
- ρ (g/cm³) = 8.44
- total magnetic moment (μB/f.u.) = 0.00
- total energy (eV per atom) = -4.948
- DOS at the Fermi energy (states/eV/f.u.) = 3.470
- crystal system = tetragonal

a b c (Å): 4.739 4.739 11.241
angles (deg): 90.00 90.00 90.00
Atoms (fractional coordinates):
Na1 0.000 0.000 0.000
Ac1 0.000 0.500 0.746
Ac2 0.500 0.000 0.254
Sb1 0.000 0.000 0.500
Sb2 0.000 0.500 0.143
Sb3 0.500 0.000 0.857
Sb4 0.500 0.500 0.500
Pd1 0.000 0.500 0.381
Pd2 0.500 0.000 0.619
Pd3 0.500 0.500 0.000

=====

A relaxed structure of CsRb2Cl, computed with PBE-GGA.

Properties
- formation energy from raw total energies (kJ/mol of atoms) = -85.48
- SG = R-3m, No. 166
- ρ (g/cm³) = 2.00
- total magnetic moment (μB/f.u.) = 0.00
- total energy (eV per atom) = -2.045
- E above lowest polymorph (meV/atom) = 17.4
- DOS at the Fermi energy (states/eV/f.u.) = 3.210
- crystal system = trigonal

a b c (Å): 13.730 13.730 13.730
angles (deg): 20.64 20.64 20.64
Atoms (fractional coordinates):
Cs1 0.000 0.000 0.000
Rb1 0.120 0.120 0.120
Rb2 0.880 0.880 0.880
Cl1 0.500 0.500 0.500

=====

A relaxed structure of La2PaCl, computed with PBE-GGA.

Properties
- formation energy from raw total energies (kJ/mol of atoms) = -39.44
- SG = R-3m, No. 166
- ρ (g/cm³) = 8.22
- total magnetic moment (μB/f.u.) = 0.00
- total energy (eV per atom) = -5.708
- DOS at the Fermi energy (states/eV/f.u.) = 3.601
- crystal system = trigonal

a b c (Å): 11.442 11.442 11.442
angles (deg): 16.87 16.87 16.87
Atoms (fractional coordinates):
La1 0.096 0.096 0.096
La2 0.904 0.904 0.904
Pa1 0.000 0.000 0.000
Cl1 0.500 0.500 0.500

=====

A relaxed structure of La2TiCr2N6, computed with PBE-GGA.

Properties
- formation energy from raw total energies (kJ/mol of atoms) = -89.10
- SG = R-3m, No. 166
- ρ (g/cm³) = 5.67
- total magnetic moment (μB/f.u.) = 0.00
- total energy (eV per atom) = -8.828
- DOS at the Fermi energy (states/eV/f.u.) = 3.250
- crystal system = trigonal

a b c (Å): 6.246 6.246 6.246
angles (deg): 54.57 54.57 54.57
Atoms (fractional coordinates):
La1 0.223 0.223 0.223
La2 0.777 0.777 0.777
Ti1 0.000 0.000 0.000
Cr1 0.432 0.432 0.432
Cr2 0.568 0.568 0.568
N1 0.241 0.241 0.754
N2 0.241 0.754 0.241
N3 0.246 0.759 0.759
N4 0.754 0.241 0.241
N5 0.759 0.246 0.759
N6 0.759 0.759 0.246

=====

A relaxed structure of HfSn2Pd9, computed with PBE-GGA.

Properties
- SG = P4/mmm, No. 123
- ρ (g/cm³) = 11.61
- ΔH_f (0 K) (kcal/mol of atoms) = -14.76
- total magnetic moment (μB/f.u.) = 0.00
- total energy (eV per atom) = -6.031
- DOS at the Fermi energy (states/eV/f.u.) = 1.399
- crystal system = tetragonal

a b c (Å): 4.030 4.030 12.096
angles (deg): 90.00 90.00 90.00
Atoms (fractional coordinates):
Hf1 0.000 0.000 0.000
Sn1 0.000 0.000 0.333
Sn2 0.000 0.000 0.667
Pd1 0.000 0.500 0.163
Pd2 0.000 0.500 0.500
Pd3 0.000 0.500 0.837
Pd4 0.500 0.000 0.163
Pd5 0.500 0.000 0.500
Pd6 0.500 0.000 0.837
Pd7 0.500 0.500 0.000
Pd8 0.500 0.500 0.332
Pd9 0.500 0.500 0.668

=====

A relaxed structure of Cs2NaHgAu, computed with PBE-GGA.

Properties
- SG = P4/mmm, No. 123
- ρ (g/cm³) = 4.17
- ΔH_f (0 K) (kcal/mol of atoms) = -3.43
- total magnetic moment (μB/f.u.) = 0.00
- total energy (eV per atom) = -1.470
- E above lowest polymorph (meV/atom) = 74.4
- DOS at the Fermi energy (states/eV/f.u.) = 4.457
- crystal system = tetragonal

a b c (Å): 6.903 6.903 5.735
angles (deg): 90.00 90.00 90.00
Atoms (fractional coordinates):
Cs1 0.000 0.500 0.000
Cs2 0.500 0.000 0.000
Na1 0.000 0.000 0.500
Hg1 0.500 0.500 0.500
Au1 0.000 0.000 0.000

=====

A relaxed structure of K2Np3SnS8, computed with PBE-GGA.

Properties
- formation energy from raw total energies (kJ/mol of atoms) = -111.99
- SG = R3m, No. 160
- ρ (g/cm³) = 4.45
- total magnetic moment (μB/f.u.) = 9.00
- total energy (eV per atom) = -6.735
- DOS at the Fermi energy (states/eV/f.u.) = 27.505
- crystal system = trigonal

a b c (Å): 8.993 8.993 8.993
angles (deg): 53.38 53.38 53.38
Atoms (fractional coordinates):
K1 0.000 0.000 0.000
K2 0.365 0.365 0.365
Np1 0.364 0.364 0.871
Np2 0.364 0.871 0.364
Np3 0.871 0.364 0.364
Sn1 0.755 0.755 0.755
S1 0.110 0.110 0.561
S2 0.110 0.561 0.110
S3 0.137 0.137 0.137
S4 0.145 0.631 0.631
S5 0.561 0.110 0.110
S6 0.590 0.590 0.590
S7 0.631 0.145 0.631
S8 0.631 0.631 0.145

=====

A relaxed structure of Cu5S2Cl2, computed with PBE-GGA.

Properties
- formation energy from raw total energies (kJ/mol of atoms) = -27.89
- SG = C2/m, No. 12
- ρ (g/cm³) = 4.36
- total magnetic moment (μB/f.u.) = 0.00
- total energy (eV per atom) = -3.892
- DOS at the Fermi energy (states/eV/f.u.) = 2.488
- crystal system = monoclinic

a b c (Å): 6.891 6.891 6.791
angles (deg): 98.00 98.00 32.73
Atoms (fractional coordinates):
Cu1 0.000 0.000 0.000
Cu2 0.110 0.110 0.521
Cu3 0.308 0.308 0.015
Cu4 0.692 0.692 0.985
Cu5 0.890 0.890 0.479
S1 0.132 0.132 0.849
S2 0.868 0.868 0.151
Cl1 0.379 0.379 0.648
Cl2 0.621 0.621 0.352

=====

A relaxed structure of K5InSb2, computed with PBE-GGA.

Properties
- formation energy from raw total energies (kJ/mol of atoms) = -26.95
- SG = R-3m, No. 166
- ρ (g/cm³) = 2.77
- total magnetic moment (μB/f.u.) = 0.00
- total energy (eV per atom) = -2.338
- DOS at the Fermi energy (states/eV/f.u.) = 5.977
- crystal system = trigonal

a b c (Å): 10.991 10.991 10.991
angles (deg): 32.06 32.06 32.06
Atoms (fractional coordinates):
K1 0.000 0.000 0.000
K2 0.123 0.123 0.123
K3 0.279 0.279 0.279
K4 0.721 0.721 0.721
K5 0.877 0.877 0.877
In1 0.500 0.500 0.500
Sb1 0.404 0.404 0.404
Sb2 0.596 0.596 0.596

=====

Repeat the sixth record exactly.
A relaxed structure of La2PaCl, computed with PBE-GGA.

Properties
- formation energy from raw total energies (kJ/mol of atoms) = -39.44
- SG = R-3m, No. 166
- ρ (g/cm³) = 8.22
- total magnetic moment (μB/f.u.) = 0.00
- total energy (eV per atom) = -5.708
- DOS at the Fermi energy (states/eV/f.u.) = 3.601
- crystal system = trigonal

a b c (Å): 11.442 11.442 11.442
angles (deg): 16.87 16.87 16.87
Atoms (fractional coordinates):
La1 0.096 0.096 0.096
La2 0.904 0.904 0.904
Pa1 0.000 0.000 0.000
Cl1 0.500 0.500 0.500